BaCoB2W after structural relaxation. Source: Alexandria, functional PBE-GGA.

Computed properties:
Space group: P4/mmm (123)
Electronic total energy: -26.5 eV/cell

```
5
Lattice="-2.3880 2.1656 2.8001 -2.3869 -4.9251 1.7735 3.0647 -0.4256 2.9427" Properties=species:S:1:pos:R:3 pbc="T T T"
Co -0.8551 -1.5925 3.7582
Ba -1.1935 -2.4625 0.8868
B -1.1940 1.0828 1.4001
B 1.5323 -0.2128 1.4714
W 0.0000 0.0000 0.0000
```